1.
Below is La6CoSe2Br3 after structural relaxation, with properties calculated at the PBE-GGA level.

Unit cell a=7.5611 b=12.9207 c=7.5765 alpha=90.00 beta=109.79 gamma=90.00
With the nearest neighbours (Å) after each atom.
Space group C2/m (No. 12)
Inequivalent atoms, fractional coordinates:
La 0.2239 0.1517 0.2123  1 Co 2.73, 2 Se 3.02-3.04
La 0.2432 0.0000 0.7662  1 Co 2.95, 2 Se 3.03, 3 Br 3.24
Co 0.0000 0.0000 0.0000  6 La 2.73-2.95
Se 0.0000 0.3337 0.0000  6 La 3.02-3.04
Br 0.0000 0.1823 0.5000  6 La 3.20-3.26
Br 0.0000 0.5000 0.5000  6 La 3.14-3.24

Summary:
Energy (eV for the cell shown): -130.069
Uncorrected formation energy (eV per atom): -1.36
V (Å³/atom): 29.0
N(E_F) (states/eV/cell): 17.96

=====

2.
Below is LaCoSeBr2 after structural relaxation, with properties calculated at the PBE-GGA level.

Unit cell a=5.8123 b=5.8123 c=5.8416 alpha=90.00 beta=90.00 gamma=90.00
With the nearest neighbours (Å) after each atom.
Space group P4/mmm (No. 123)
Inequivalent atoms, fractional coordinates:
La 0.0000 0.0000 0.0000  4 Br 2.91, 2 Se 2.92
Co 0.5000 0.5000 0.5000  4 Se 4.11, 8 Br 4.12
Se 0.0000 0.0000 0.5000  2 La 2.92
Br 0.0000 0.5000 0.0000  2 La 2.91

Summary:
Energy (eV for the cell shown): -20.420
Uncorrected formation energy (eV per atom): -0.31
V (Å³/atom): 39.5
N(E_F) (states/eV/cell): 7.30

=====

3.
Below is La6Co2SiBr3 after structural relaxation, with properties calculated at the PBE-GGA level.

Unit cell a=19.4180 b=4.1990 c=9.2447 alpha=90.00 beta=109.94 gamma=90.00
With the nearest neighbours (Å) after each atom.
Space group C2/m (No. 12)
Inequivalent atoms, fractional coordinates:
La 0.0229 0.0000 0.2422  1 Co 2.70, 2 Si 2.99
La 0.1633 0.5000 0.1255  2 Co 2.85, 1 Si 2.98
La 0.1832 0.5000 0.5578  3 Co 2.67-2.87
Co 0.1705 0.0000 0.3384  6 La 2.67-2.87
Si 0.0000 0.5000 0.0000  6 La 2.98-2.99
Br 0.0000 0.5000 0.5000  6 La 3.32-3.41
Br 0.1599 0.0000 0.8391  6 La 3.34-3.49

Summary:
Energy (eV for the cell shown): -130.381
Uncorrected formation energy (eV per atom): -0.91
V (Å³/atom): 29.5
N(E_F) (states/eV/cell): 11.92

=====

4.
Below is La6CoSi2Br3 after structural relaxation, with properties calculated at the PBE-GGA level.

Unit cell a=7.6148 b=12.7452 c=7.8563 alpha=90.00 beta=109.25 gamma=90.00
With the nearest neighbours (Å) after each atom.
Space group C2/m (No. 12)
Inequivalent atoms, fractional coordinates:
La 0.2196 0.1531 0.1995  1 Co 2.71, 1 Si 2.98
La 0.2437 0.5000 0.2240  2 Si 2.97, 1 Co 3.03, 3 Br 3.29
Co 0.0000 0.0000 0.0000  6 La 2.71-3.03
Si 0.0000 0.3347 0.0000  6 La 2.97-3.04
Br 0.0000 0.1776 0.5000  6 La 3.29-3.39
Br 0.0000 0.5000 0.5000  6 La 3.26-3.29

Summary:
Energy (eV for the cell shown): -129.002
Uncorrected formation energy (eV per atom): -1.00
V (Å³/atom): 30.0
N(E_F) (states/eV/cell): 17.38